Record 1
Here is a relaxed structure of ReTeOs2 from Alexandria via LeMat-Bulk. Energies are from PBE-GGA.

## Properties
Formation energy (no corrections) in eV per formula unit: 2.41
Space group: P4/mmm (123)
D(E_F) in states/eV per atom: 0.8024

Lattice parameters (Å, degrees): 2.9516 2.9516 7.5557 90.00 90.00 90.00
Last column: nearest neighbours and their distance in Å.
Element x y z (fractional)
Re (0.0000, 0.0000, 0.0000)  8 Os 2.71, 4 Re 2.95
Te (0.0000, 0.0000, 0.5000)  8 Os 2.93, 4 Te 2.95
Os (0.5000, 0.5000, 0.2284)  4 Re 2.71, 4 Te 2.93, 4 Os 2.95
Os (0.5000, 0.5000, 0.7716)  4 Re 2.71, 4 Te 2.93, 4 Os 2.95

Record 2
Here is a relaxed structure of ReTeOs2 from Alexandria via LeMat-Bulk. Energies are from PBE-GGA.

## Properties
Formation energy (no corrections) in eV per formula unit: 3.49
Space group: Imm2 (44)
D(E_F) in states/eV per atom: 0.8488

Lattice parameters (Å, degrees): 5.4381 5.4381 5.4381 147.76 130.13 60.63
Last column: nearest neighbours and their distance in Å.
Element x y z (fractional)
Re (0.0000, 0.0000, 0.0000)  2 Te 2.66, 6 Os 2.77-2.82
Te (0.2338, 0.7338, 0.5000)  6 Os 2.61-2.75, 2 Re 2.66
Os (0.4605, 0.4605, 0.0000)  2 Te 2.61, 4 Re 2.77
Os (0.7460, 0.2460, 0.5000)  4 Te 2.75, 2 Re 2.82, 6 Os 3.02-3.08

> Which value of formation energy (no corrections) does entry 1 give?

2.41 eV per formula unit

> Among the records above, which one has the highest D(E_F)?

number 2

> Among the records above, which one has the lowest formation energy (no corrections)?

number 1

> Which of these has the highest D(E_F)?

number 2